Computed, not measured: an optimized crystal structure of NdPaH2 at the PBE-GGA level of DFT.

Output
M_tot: 0.00 μB per formula unit
Density of states at the Fermi level: 3.668 states/eV per cell
Symmetry: No. 166
VASP energy: -5.44 eV/atom
Calculated density: 10.0 g cm⁻³

a = 3.4835 Å, b = 3.4835 Å, c = 6.2943 Å
α = 73.94°, β = 73.94°, γ = 60.00°
Last column: nearest neighbours and their distance in Å.
Element x y z (fractional)
H1 0.7446 0.7446 0.7663  3 Pa 2.45, 3 Nd 2.56
Nd1 0.5000 0.5000 0.5000  6 H 2.56
H2 0.2554 0.2554 0.2337  3 Pa 2.45, 3 Nd 2.56
Pa1 0.0000 0.0000 0.0000  6 H 2.45